Entry 1:
{
  "formula": "DyYAl",
  "functional": "GGA-PBE",
  "state": "relaxed",
  "spacegroup": "I4mm (107)",
  "e_form_ev_per_fu": -0.79,
  "lattice": [[-0.756, -3.242, 0.905], [2.095, 0.273, 2.727], [-5.810, 3.722, 1.907]],
  "species": ["Y", "Al", "Dy"],
  "frac_coords": [[0.598, 0.598, 0.197], [0.950, 0.950, 0.900], [0.302, 0.302, 0.604]]
}

Entry 2:
{
  "formula": "AuCSe3",
  "functional": "GGA-PBE",
  "state": "relaxed",
  "spacegroup": "Pm-3m (221)",
  "lattice": [[-0.161, -4.287, 1.170], [2.688, 0.838, 3.442], [-3.539, 0.832, 2.562]],
  "species": ["C", "Au", "Se", "Se", "Se"],
  "frac_coords": [[0.000, 0.000, 0.000], [0.500, 0.500, 0.500], [0.000, 0.500, 0.000], [0.000, 0.000, 0.500], [0.500, 0.000, 0.000]]
}

Calculated distance to the lowest polymorph of the same formula in order - 0.019, 0.000 eV/atom
Calculated size of the total moment in order - 0.00, 0.00 μB/atom